(1)
The following is a DFT calculation (GGA-PBE) of an optimized crystal structure of ScSiRh2Cl.

## Properties
Energy (eV per atom): -5.228
Space group: No. 123
Volume (Å³/cell): 92.1
Formation energy from raw total energies (eV/atom): 0.433

abc: 4.4024 4.7545 4.4024
angles: 90.00 90.00 90.00
Last column: nearest neighbours and their distance in Å.
Fractional coordinates of all 5 atoms:
1 Sc 0.5000 0.5000 0.5000  4 Si 3.11, 8 Rh 3.24
2 Si 0.0000 0.5000 0.0000  2 Cl 2.38
3 Rh 0.0000 0.0000 0.5000  2 Cl 2.20
4 Rh 0.5000 0.0000 0.0000  2 Cl 2.20
5 Cl 0.0000 0.0000 0.0000  4 Rh 2.20, 2 Si 2.38

---

(2)
The following is a DFT calculation (GGA-PBE) of an optimized crystal structure of ScSnRh2Cl.

## Properties
Energy (eV per atom): -4.971
Space group: No. 123
Volume (Å³/cell): 122.1
Formation energy from raw total energies (eV/atom): 0.406

abc: 4.8757 5.1345 4.8757
angles: 90.00 90.00 90.00
Last column: nearest neighbours and their distance in Å.
Fractional coordinates of all 5 atoms:
1 Sc 0.5000 0.5000 0.5000  4 Cl 3.45, 8 Rh 3.54
2 Rh 0.0000 0.0000 0.5000  2 Sn 2.44
3 Rh 0.5000 0.0000 0.0000  2 Sn 2.44
4 Sn 0.0000 0.0000 0.0000  4 Rh 2.44, 2 Cl 2.57
5 Cl 0.0000 0.5000 0.0000  2 Sn 2.57

---

(3)
The following is a DFT calculation (GGA-PBE) of an optimized crystal structure of Sr2ScRhCl.

## Properties
Energy (eV per atom): -3.352
Space group: No. 123
Volume (Å³/cell): 184.3
Formation energy from raw total energies (eV/atom): 0.426

abc: 6.2958 4.6495 6.2958
angles: 90.00 90.00 90.00
Last column: nearest neighbours and their distance in Å.
Fractional coordinates of all 5 atoms:
1 Sc 0.0000 0.0000 0.0000  2 Cl 2.32
2 Sr 0.0000 0.0000 0.5000  2 Sc 3.15
3 Sr 0.5000 0.0000 0.0000  2 Sc 3.15
4 Rh 0.5000 0.5000 0.5000  8 Sr 3.91
5 Cl 0.0000 0.5000 0.0000  2 Sc 2.32

---

(4)
The following is a DFT calculation (GGA-PBE) of an optimized crystal structure of ScTaRh2Cl.

## Properties
Energy (eV per atom): -6.282
Space group: No. 123
Volume (Å³/cell): 122.8
Formation energy from raw total energies (eV/atom): 0.665

abc: 4.6593 5.6547 4.6593
angles: 90.00 90.00 90.00
Last column: nearest neighbours and their distance in Å.
Fractional coordinates of all 5 atoms:
1 Sc 0.0000 0.5000 0.0000  2 Ta 2.83
2 Cl 0.5000 0.5000 0.5000  4 Sc 3.29, 8 Rh 3.66
3 Rh 0.0000 0.0000 0.5000  2 Ta 2.33
4 Rh 0.5000 0.0000 0.0000  2 Ta 2.33
5 Ta 0.0000 0.0000 0.0000  4 Rh 2.33